1.
Here is a relaxed ZnO4 crystal from Alexandria. Energies are from GGA-PBE.

Geometry as CIF:
```
data_ZnO4
_cell_length_a 3.972
_cell_length_b 3.972
_cell_length_c 3.972
_cell_angle_alpha 90.00
_cell_angle_beta 90.00
_cell_angle_gamma 90.00
_space_group_name_H-M_alt 'P 1'
_space_group_IT_number 1
_space_group_name_Hall 'P 1'
loop_
_atom_site_label
_atom_site_type_symbol
_atom_site_fract_x
_atom_site_fract_y
_atom_site_fract_z
_atom_site_occupancy
O1 O 0.500 0.500 0.000 1
O2 O 0.000 0.500 0.500 1
O3 O 0.000 0.000 0.000 1
O4 O 0.500 0.000 0.500 1
Zn1 Zn 0.500 0.500 0.500 1
```

Calculated values
Space group: Pm-3m

2.
Here is a relaxed Zn4O crystal from Alexandria. Energies are from GGA-PBE.

Geometry as CIF:
```
data_Zn4O
_cell_length_a 4.218
_cell_length_b 4.218
_cell_length_c 4.218
_cell_angle_alpha 90.00
_cell_angle_beta 90.00
_cell_angle_gamma 90.00
_space_group_name_H-M_alt 'P 1'
_space_group_IT_number 1
_space_group_name_Hall 'P 1'
loop_
_atom_site_label
_atom_site_type_symbol
_atom_site_fract_x
_atom_site_fract_y
_atom_site_fract_z
_atom_site_occupancy
Zn1 Zn 0.500 0.500 0.000 1
Zn2 Zn 0.000 0.000 0.000 1
Zn3 Zn 0.000 0.500 0.500 1
Zn4 Zn 0.500 0.000 0.500 1
O1 O 0.500 0.500 0.500 1
```

Calculated values
Space group: Pm-3m

3.
Here is a relaxed ZnO8 crystal from Alexandria. Energies are from GGA-PBE.

Geometry as CIF:
```
data_ZnO8
_cell_length_a 6.163
_cell_length_b 6.382
_cell_length_c 6.382
_cell_angle_alpha 76.52
_cell_angle_beta 61.13
_cell_angle_gamma 61.13
_space_group_name_H-M_alt 'P 1'
_space_group_IT_number 1
_space_group_name_Hall 'P 1'
loop_
_atom_site_label
_atom_site_type_symbol
_atom_site_fract_x
_atom_site_fract_y
_atom_site_fract_z
_atom_site_occupancy
O1 O 0.000 0.422 0.578 1
O2 O 0.594 0.000 0.811 1
O3 O 0.594 0.811 0.000 1
O4 O 0.000 0.578 0.422 1
O5 O 0.578 0.422 0.422 1
O6 O 0.406 0.000 0.189 1
O7 O 0.406 0.189 0.000 1
Zn1 Zn 0.000 0.000 0.000 1
O8 O 0.422 0.578 0.578 1
```

Calculated values
Space group: I4/mmm

4.
Here is a relaxed Zr4ZnO2 crystal from Alexandria. Energies are from GGA-PBE.

Geometry as CIF:
```
data_Zr4ZnO2
_cell_length_a 3.520
_cell_length_b 5.828
_cell_length_c 11.316
_cell_angle_alpha 90.00
_cell_angle_beta 90.00
_cell_angle_gamma 107.58
_space_group_name_H-M_alt 'P 1'
_space_group_IT_number 1
_space_group_name_Hall 'P 1'
loop_
_atom_site_label
_atom_site_type_symbol
_atom_site_fract_x
_atom_site_fract_y
_atom_site_fract_z
_atom_site_occupancy
O1 O 0.126 0.251 0.439 1
Zr1 Zr 0.929 0.858 0.750 1
O2 O 0.126 0.251 0.061 1
Zr2 Zr 0.757 0.514 0.107 1
Zr3 Zr 0.500 0.000 0.000 1
Zr4 Zr 0.071 0.142 0.250 1
Zr5 Zr 0.757 0.514 0.393 1
Zr6 Zr 0.500 0.000 0.500 1
Zn1 Zn 0.385 0.771 0.250 1
Zr7 Zr 0.243 0.486 0.893 1
Zr8 Zr 0.243 0.486 0.607 1
O3 O 0.874 0.749 0.939 1
Zn2 Zn 0.615 0.229 0.750 1
O4 O 0.874 0.749 0.561 1
```

Calculated values
Space group: Cmcm

5.
Here is a relaxed Zr2ZnO crystal from Alexandria. Energies are from GGA-PBE.

Geometry as CIF:
```
data_Zr2ZnO
_cell_length_a 3.290
_cell_length_b 3.290
_cell_length_c 7.290
_cell_angle_alpha 76.96
_cell_angle_beta 76.96
_cell_angle_gamma 60.00
_space_group_name_H-M_alt 'P 1'
_space_group_IT_number 1
_space_group_name_Hall 'P 1'
loop_
_atom_site_label
_atom_site_type_symbol
_atom_site_fract_x
_atom_site_fract_y
_atom_site_fract_z
_atom_site_occupancy
Zr1 Zr 0.272 0.272 0.183 1
Zn1 Zn 0.499 0.499 0.502 1
Zr2 Zr 0.061 0.061 0.818 1
O1 O 0.667 0.667 0.998 1
```

Calculated values
Space group: R3m
E above lowest polymorph in meV/atom: 37

6.
Here is a relaxed ZrZn3O crystal from Alexandria. Energies are from GGA-PBE.

Geometry as CIF:
```
data_ZrZn3O
_cell_length_a 4.314
_cell_length_b 4.314
_cell_length_c 4.314
_cell_angle_alpha 90.00
_cell_angle_beta 90.00
_cell_angle_gamma 90.00
_space_group_name_H-M_alt 'P 1'
_space_group_IT_number 1
_space_group_name_Hall 'P 1'
loop_
_atom_site_label
_atom_site_type_symbol
_atom_site_fract_x
_atom_site_fract_y
_atom_site_fract_z
_atom_site_occupancy
Zn1 Zn 0.500 0.000 0.000 1
Zr1 Zr 0.500 0.500 0.500 1
Zn2 Zn 0.000 0.500 0.000 1
Zn3 Zn 0.000 0.000 0.500 1
O1 O 0.000 0.000 0.000 1
```

Calculated values
Space group: Pm-3m
E above lowest polymorph in meV/atom: 0

7.
Here is a relaxed ZrZnO2 crystal from Alexandria. Energies are from GGA-PBE.

Geometry as CIF:
```
data_ZrZnO2
_cell_length_a 7.369
_cell_length_b 7.369
_cell_length_c 7.369
_cell_angle_alpha 25.20
_cell_angle_beta 25.20
_cell_angle_gamma 25.20
_space_group_name_H-M_alt 'P 1'
_space_group_IT_number 1
_space_group_name_Hall 'P 1'
loop_
_atom_site_label
_atom_site_type_symbol
_atom_site_fract_x
_atom_site_fract_y
_atom_site_fract_z
_atom_site_occupancy
O1 O 0.882 0.882 0.882 1
Zn1 Zn 0.000 0.000 0.000 1
Zr1 Zr 0.500 0.500 0.500 1
O2 O 0.118 0.118 0.118 1
```

Calculated values
Space group: R-3m

8.
Here is a relaxed ZrZnO crystal from Alexandria. Energies are from GGA-PBE.

Geometry as CIF:
```
data_ZrZnO
_cell_length_a 3.541
_cell_length_b 3.541
_cell_length_c 8.872
_cell_angle_alpha 78.49
_cell_angle_beta 78.49
_cell_angle_gamma 60.00
_space_group_name_H-M_alt 'P 1'
_space_group_IT_number 1
_space_group_name_Hall 'P 1'
loop_
_atom_site_label
_atom_site_type_symbol
_atom_site_fract_x
_atom_site_fract_y
_atom_site_fract_z
_atom_site_occupancy
Zr1 Zr 0.608 0.608 0.176 1
Zn1 Zn 0.862 0.862 0.413 1
O1 O 0.303 0.303 0.090 1
Zr2 Zr 0.392 0.392 0.824 1
Zn2 Zn 0.138 0.138 0.587 1
O2 O 0.697 0.697 0.910 1
```

Calculated values
Space group: R-3m

9.
Here is a relaxed Zr4ZnO crystal from Alexandria. Energies are from GGA-PBE.

Geometry as CIF:
```
data_Zr4ZnO
_cell_length_a 6.047
_cell_length_b 5.612
_cell_length_c 7.448
_cell_angle_alpha 112.13
_cell_angle_beta 105.09
_cell_angle_gamma 90.00
_space_group_name_H-M_alt 'P 1'
_space_group_IT_number 1
_space_group_name_Hall 'P 1'
loop_
_atom_site_label
_atom_site_type_symbol
_atom_site_fract_x
_atom_site_fract_y
_atom_site_fract_z
_atom_site_occupancy
O1 O 0.000 0.000 0.500 1
Zr1 Zr 0.858 0.714 0.615 1
Zr2 Zr 0.542 0.492 0.803 1
Zr3 Zr 0.458 0.508 0.197 1
Zr4 Zr 0.358 0.902 0.615 1
Zr5 Zr 0.042 0.311 0.803 1
Zr6 Zr 0.642 0.098 0.385 1
Zr7 Zr 0.142 0.286 0.385 1
Zn1 Zn 0.750 0.089 0.000 1
Zr8 Zr 0.958 0.689 0.197 1
O2 O 0.500 0.500 0.500 1
Zn2 Zn 0.250 0.911 0.000 1
```

Calculated values
Space group: C2/c
E above lowest polymorph in meV/atom: 0

10.
Here is a relaxed Zr2ZnO crystal from Alexandria. Energies are from GGA-PBE.

Geometry as CIF:
```
data_Zr2ZnO
_cell_length_a 5.475
_cell_length_b 5.475
_cell_length_c 6.653
_cell_angle_alpha 65.70
_cell_angle_beta 65.70
_cell_angle_gamma 90.00
_space_group_name_H-M_alt 'P 1'
_space_group_IT_number 1
_space_group_name_Hall 'P 1'
loop_
_atom_site_label
_atom_site_type_symbol
_atom_site_fract_x
_atom_site_fract_y
_atom_site_fract_z
_atom_site_occupancy
O1 O 0.500 0.500 0.000 1
O2 O 0.250 0.750 0.500 1
Zn1 Zn 0.000 0.000 0.000 1
Zr1 Zr 0.875 0.783 0.750 1
Zr2 Zr 0.533 0.125 0.250 1
Zr3 Zr 0.217 0.625 0.250 1
Zn2 Zn 0.750 0.250 0.500 1
Zr4 Zr 0.375 0.467 0.750 1
```

Calculated values
Space group: I-42d
E above lowest polymorph in meV/atom: 309

11.
Here is a relaxed ZrZn3O crystal from Alexandria. Energies are from GGA-PBE.

Geometry as CIF:
```
data_ZrZn3O
_cell_length_a 5.331
_cell_length_b 5.331
_cell_length_c 5.331
_cell_angle_alpha 90.00
_cell_angle_beta 90.00
_cell_angle_gamma 90.00
_space_group_name_H-M_alt 'P 1'
_space_group_IT_number 1
_space_group_name_Hall 'P 1'
loop_
_atom_site_label
_atom_site_type_symbol
_atom_site_fract_x
_atom_site_fract_y
_atom_site_fract_z
_atom_site_occupancy
Zr1 Zr 0.000 0.000 0.000 1
Zn1 Zn 0.000 0.000 0.500 1
Zn2 Zn 0.000 0.500 0.000 1
Zn3 Zn 0.500 0.000 0.000 1
O1 O 0.500 0.500 0.500 1
```

Calculated values
Space group: Pm-3m
E above lowest polymorph in meV/atom: 1365

12.
Here is a relaxed Zr2ZnO crystal from Alexandria. Energies are from GGA-PBE.

Geometry as CIF:
```
data_Zr2ZnO
_cell_length_a 4.518
_cell_length_b 4.518
_cell_length_c 4.518
_cell_angle_alpha 60.00
_cell_angle_beta 60.00
_cell_angle_gamma 60.00
_space_group_name_H-M_alt 'P 1'
_space_group_IT_number 1
_space_group_name_Hall 'P 1'
loop_
_atom_site_label
_atom_site_type_symbol
_atom_site_fract_x
_atom_site_fract_y
_atom_site_fract_z
_atom_site_occupancy
Zn1 Zn 0.500 0.500 0.500 1
O1 O 0.000 0.000 0.000 1
Zr1 Zr 0.250 0.250 0.250 1
Zr2 Zr 0.750 0.750 0.750 1
```

Calculated values
Space group: Fm-3m
E above lowest polymorph in meV/atom: 898

13.
Here is a relaxed ZrZn2O crystal from Alexandria. Energies are from GGA-PBE.

Geometry as CIF:
```
data_ZrZn2O
_cell_length_a 7.695
_cell_length_b 7.695
_cell_length_c 5.853
_cell_angle_alpha 48.90
_cell_angle_beta 48.90
_cell_angle_gamma 90.00
_space_group_name_H-M_alt 'P 1'
_space_group_IT_number 1
_space_group_name_Hall 'P 1'
loop_
_atom_site_label
_atom_site_type_symbol
_atom_site_fract_x
_atom_site_fract_y
_atom_site_fract_z
_atom_site_occupancy
Zn1 Zn 0.375 0.441 0.750 1
O1 O 0.500 0.500 0.000 1
Zn2 Zn 0.191 0.625 0.250 1
Zn3 Zn 0.875 0.809 0.750 1
Zn4 Zn 0.559 0.125 0.250 1
O2 O 0.250 0.750 0.500 1
Zr1 Zr 0.000 0.000 0.000 1
Zr2 Zr 0.750 0.250 0.500 1
```

Calculated values
Space group: I-42d

14.
Here is a relaxed Zr4ZnO crystal from Alexandria. Energies are from GGA-PBE.

Geometry as CIF:
```
data_Zr4ZnO
_cell_length_a 6.172
_cell_length_b 6.039
_cell_length_c 6.087
_cell_angle_alpha 94.27
_cell_angle_beta 90.00
_cell_angle_gamma 90.00
_space_group_name_H-M_alt 'P 1'
_space_group_IT_number 1
_space_group_name_Hall 'P 1'
loop_
_atom_site_label
_atom_site_type_symbol
_atom_site_fract_x
_atom_site_fract_y
_atom_site_fract_z
_atom_site_occupancy
Zr1 Zr 0.629 0.596 0.327 1
Zr2 Zr 0.159 0.674 0.113 1
Zr3 Zr 0.371 0.404 0.673 1
Zr4 Zr 0.129 0.904 0.673 1
O1 O 0.500 0.500 0.000 1
Zn1 Zn 0.000 0.500 0.500 1
Zr5 Zr 0.659 0.826 0.887 1
Zr6 Zr 0.841 0.326 0.887 1
O2 O 0.000 0.000 0.000 1
Zr7 Zr 0.871 0.096 0.327 1
Zr8 Zr 0.341 0.174 0.113 1
Zn2 Zn 0.500 0.000 0.500 1
```

Calculated values
Space group: P2_1/c
E above lowest polymorph in meV/atom: 86

15.
Here is a relaxed ZrZn6O6 crystal from Alexandria. Energies are from GGA-PBE.

Geometry as CIF:
```
data_ZrZn6O6
_cell_length_a 5.764
_cell_length_b 5.764
_cell_length_c 5.764
_cell_angle_alpha 90.00
_cell_angle_beta 90.00
_cell_angle_gamma 90.00
_space_group_name_H-M_alt 'P 1'
_space_group_IT_number 1
_space_group_name_Hall 'P 1'
loop_
_atom_site_label
_atom_site_type_symbol
_atom_site_fract_x
_atom_site_fract_y
_atom_site_fract_z
_atom_site_occupancy
O1 O 0.500 0.753 0.000 1
Zn1 Zn 0.500 0.000 0.746 1
Zn2 Zn 0.000 0.746 0.500 1
O2 O 0.247 0.000 0.500 1
O3 O 0.000 0.500 0.753 1
Zn3 Zn 0.500 0.000 0.254 1
O4 O 0.500 0.247 0.000 1
Zr1 Zr 0.000 0.000 0.000 1
Zn4 Zn 0.746 0.500 0.000 1
Zn5 Zn 0.254 0.500 0.000 1
Zn6 Zn 0.000 0.254 0.500 1
O5 O 0.000 0.500 0.247 1
O6 O 0.753 0.000 0.500 1
```

Calculated values
Space group: Pm-3

16.
Here is a relaxed ZrZnO2 crystal from Alexandria. Energies are from GGA-PBE.

Geometry as CIF:
```
data_ZrZnO2
_cell_length_a 6.475
_cell_length_b 6.475
_cell_length_c 6.479
_cell_angle_alpha 60.02
_cell_angle_beta 60.02
_cell_angle_gamma 90.00
_space_group_name_H-M_alt 'P 1'
_space_group_IT_number 1
_space_group_name_Hall 'P 1'
loop_
_atom_site_label
_atom_site_type_symbol
_atom_site_fract_x
_atom_site_fract_y
_atom_site_fract_z
_atom_site_occupancy
O1 O 0.874 0.625 0.250 1
Zr1 Zr 0.750 0.250 0.500 1
Zr2 Zr 0.000 0.000 0.000 1
O2 O 0.375 0.124 0.750 1
Zn1 Zn 0.250 0.750 0.500 1
Zn2 Zn 0.500 0.500 0.000 1
O3 O 0.876 0.125 0.250 1
O4 O 0.875 0.126 0.750 1
```

Calculated values
Space group: I-42d

17.
Here is a relaxed Zr6ZnO crystal from Alexandria. Energies are from GGA-PBE.

Geometry as CIF:
```
data_Zr6ZnO
_cell_length_a 5.120
_cell_length_b 5.941
_cell_length_c 5.752
_cell_angle_alpha 80.94
_cell_angle_beta 89.54
_cell_angle_gamma 66.85
_space_group_name_H-M_alt 'P 1'
_space_group_IT_number 1
_space_group_name_Hall 'P 1'
loop_
_atom_site_label
_atom_site_type_symbol
_atom_site_fract_x
_atom_site_fract_y
_atom_site_fract_z
_atom_site_occupancy
Zn1 Zn 0.500 0.500 0.500 1
Zr1 Zr 0.233 0.019 0.331 1
Zr2 Zr 0.069 0.352 0.784 1
Zr3 Zr 0.404 0.748 0.875 1
Zr4 Zr 0.931 0.648 0.216 1
O1 O 0.000 0.000 0.000 1
Zr5 Zr 0.767 0.981 0.669 1
Zr6 Zr 0.596 0.252 0.125 1
```

Calculated values
Space group: P-1

18.
Here is a relaxed Zr2ZnO crystal from Alexandria. Energies are from GGA-PBE.

Geometry as CIF:
```
data_Zr2ZnO
_cell_length_a 3.282
_cell_length_b 3.282
_cell_length_c 7.246
_cell_angle_alpha 76.91
_cell_angle_beta 76.91
_cell_angle_gamma 60.00
_space_group_name_H-M_alt 'P 1'
_space_group_IT_number 1
_space_group_name_Hall 'P 1'
loop_
_atom_site_label
_atom_site_type_symbol
_atom_site_fract_x
_atom_site_fract_y
_atom_site_fract_z
_atom_site_occupancy
Zn1 Zn 0.500 0.500 0.500 1
Zr1 Zr 0.271 0.271 0.188 1
O1 O 0.000 0.000 0.000 1
Zr2 Zr 0.729 0.729 0.812 1
```

Calculated values
Space group: R-3m
E above lowest polymorph in meV/atom: 0

19.
Here is a relaxed Zr3O crystal from Alexandria. Energies are from GGA-PBE.

Geometry as CIF:
```
data_Zr3O
_cell_length_a 3.002
_cell_length_b 3.107
_cell_length_c 7.998
_cell_angle_alpha 90.00
_cell_angle_beta 90.00
_cell_angle_gamma 90.00
_space_group_name_H-M_alt 'P 1'
_space_group_IT_number 1
_space_group_name_Hall 'P 1'
loop_
_atom_site_label
_atom_site_type_symbol
_atom_site_fract_x
_atom_site_fract_y
_atom_site_fract_z
_atom_site_occupancy
Zr1 Zr 0.000 0.500 0.468 1
O1 O 0.000 0.000 0.003 1
Zr2 Zr 0.500 0.000 0.756 1
Zr3 Zr 0.500 0.500 0.107 1
```

Calculated values
Space group: Pmm2

20.
Here is a relaxed Zr2O crystal from Alexandria. Energies are from GGA-PBE.

Geometry as CIF:
```
data_Zr2O
_cell_length_a 4.876
_cell_length_b 4.876
_cell_length_c 4.876
_cell_angle_alpha 90.00
_cell_angle_beta 90.00
_cell_angle_gamma 90.00
_space_group_name_H-M_alt 'P 1'
_space_group_IT_number 1
_space_group_name_Hall 'P 1'
loop_
_atom_site_label
_atom_site_type_symbol
_atom_site_fract_x
_atom_site_fract_y
_atom_site_fract_z
_atom_site_occupancy
Zr1 Zr 0.250 0.250 0.250 1
O1 O 0.000 0.000 0.000 1
Zr2 Zr 0.750 0.250 0.750 1
Zr3 Zr 0.250 0.750 0.750 1
O2 O 0.500 0.500 0.500 1
Zr4 Zr 0.750 0.750 0.250 1
```

Calculated values
Space group: Pn-3m

Summary of ΔE_f (raw) in eV per atom
0.851, -0.073, 0.628, -1.533, -1.229, -0.012, -2.090, -1.518, -0.887, -0.956, 1.353, -0.367, -0.696, -0.801, -0.912, -2.085, -0.680, -1.265, -0.970, -1.536
(order as listed above)